(1)
Entry from Alexandria via LeMat-Bulk: CaTcSe3 after structural relaxation (GGA-PBE).

The formation energy (no corrections) is -2.08 eV per formula unit. The uncorrected energy is -24.904 eV per formula unit. Its offset from the most stable computed form is 0.00 eV/f.u.

It has space group Pm-3m (No. 221), with a = 4.9973 Å, b = 4.9973 Å, c = 4.9973 Å, α = 90.00°, β = 90.00° and γ = 90.00°. The distinct sites, in fractional coordinates, are Ca at (0.0000, 0.0000, 0.0000), Tc at (0.5000, 0.5000, 0.5000) and Se at (0.0000, 0.5000, 0.5000).

---

(2)
Entry from Alexandria via LeMat-Bulk: BeCu4Ag after structural relaxation (GGA-PBE).

The formation energy comes out at 0.243 eV/atom. The uncorrected energy is -21.507 eV per formula unit.

It has space group F-43m (No. 216), with a = 6.8084 Å, b = 6.8084 Å, c = 6.8084 Å, α = 90.00°, β = 90.00° and γ = 90.00°. The distinct sites, in fractional coordinates, are Be at (0.0000, 0.0000, 0.0000), Cu at (0.1255, 0.1255, 0.6255) and Ag at (0.2500, 0.2500, 0.2500).

---

(3)
Entry from Alexandria via LeMat-Bulk: LiFeSe2 after structural relaxation (GGA-PBE).

The formation energy (no corrections) is -1.88 eV per formula unit. The uncorrected energy is -19.223 eV per formula unit.

It has space group I-42d (No. 122), with a = 5.9163 Å, b = 5.9163 Å, c = 10.6671 Å, α = 90.00°, β = 90.00° and γ = 90.00°. The distinct sites, in fractional coordinates, are Li at (0.0000, 0.0000, 0.0000), Fe at (0.0000, 0.0000, 0.5000) and Se at (0.2227, 0.2500, 0.6250).

---

(4)
Entry from Alexandria via LeMat-Bulk: TlFe2Ru after structural relaxation (GGA-PBE).

The formation energy comes out at 0.618 eV/atom. The uncorrected energy is -26.094 eV per formula unit. Its offset from the most stable computed form is 0.92 eV/f.u.

It has space group Cmmm (No. 65), with a = 3.2952 Å, b = 4.5968 Å, c = 8.5059 Å, α = 90.00°, β = 90.00° and γ = 90.00°. The distinct sites, in fractional coordinates, are Tl at (0.0000, 0.0000, 0.0000), Fe at (0.0000, 0.5000, 0.2761) and Ru at (0.0000, 0.0000, 0.5000).

---

(5)
Entry from Alexandria via LeMat-Bulk: Mg2PdPt4 after structural relaxation (GGA-PBE).

The formation energy comes out at -0.245 eV/atom. The uncorrected energy is -34.263 eV per formula unit. Its offset from the most stable computed form is 1.57 eV/f.u.

It has space group I4/mmm (No. 139), with a = 3.6677 Å, b = 3.6677 Å, c = 18.7329 Å, α = 90.00°, β = 90.00° and γ = 90.00°. The distinct sites, in fractional coordinates, are Mg at (0.0000, 0.0000, 0.0884), Pd at (0.0000, 0.0000, 0.5000), Pt at (0.0000, 0.0000, 0.3596) and Pt at (0.0000, 0.5000, 0.2500).

---

(6)
Entry from Alexandria via LeMat-Bulk: LaSm2Dy6 after structural relaxation (GGA-PBE).

The formation energy comes out at 0.020 eV/atom. The uncorrected energy is -41.799 eV per formula unit. Its offset from the most stable computed form is 0.00 eV/f.u.

It has space group P-1 (No. 2), with a = 3.5891 Å, b = 8.7922 Å, c = 9.4744 Å, α = 90.03°, β = 100.86° and γ = 90.09°. The distinct sites, in fractional coordinates, are La at (0.0000, 0.0000, 0.0000), Sm at (0.4438, 0.6635, 0.8872), Dy at (0.1131, 0.6669, 0.2264), Dy at (0.2222, 0.3347, 0.4452) and Dy at (0.3315, 0.9999, 0.6620).

---

(7)
Entry from Alexandria via LeMat-Bulk: MnNiSeN2 after structural relaxation (GGA-PBE).

The formation energy (no corrections) is 3.18 eV per formula unit. The uncorrected energy is -31.904 eV per formula unit. Its offset from the most stable computed form is 0.00 eV/f.u.

It has space group P4/mmm (No. 123), with a = 3.5302 Å, b = 3.5302 Å, c = 5.3241 Å, α = 90.00°, β = 90.00° and γ = 90.00°. The distinct sites, in fractional coordinates, are Mn at (0.0000, 0.0000, 0.0000), Ni at (0.5000, 0.5000, 0.5000), Se at (0.0000, 0.0000, 0.5000) and N at (0.0000, 0.5000, 0.0000).

---

(8)
Entry from Alexandria via LeMat-Bulk: Mn2GaC after structural relaxation (GGA-PBE).

The formation energy comes out at 0.249 eV/atom. The uncorrected energy is -29.594 eV per formula unit.

It has space group I-42d (No. 122), with a = 6.0008 Å, b = 6.0008 Å, c = 5.2237 Å, α = 90.00°, β = 90.00° and γ = 90.00°. The distinct sites, in fractional coordinates, are Mn at (0.1605, 0.2500, 0.1250), Ga at (0.0000, 0.0000, 0.5000) and C at (0.0000, 0.0000, 0.0000).

---

(9)
Entry from Alexandria via LeMat-Bulk: Hf2BeCo after structural relaxation (GGA-PBE).

The formation energy comes out at -0.286 eV/atom. The uncorrected energy is -31.884 eV per formula unit.

It has space group P2_1/m (No. 11), with a = 5.3023 Å, b = 4.0366 Å, c = 6.4521 Å, α = 90.00°, β = 113.95° and γ = 90.00°. The distinct sites, in fractional coordinates, are Hf at (0.1838, 0.2500, 0.4134), Hf at (0.2863, 0.7500, 0.0795), Be at (0.3633, 0.7500, 0.7033) and Co at (0.1593, 0.2500, 0.7912).

---

(10)
Entry from Alexandria via LeMat-Bulk: HfV2H after structural relaxation (GGA-PBE).

The uncorrected energy is -27.255 eV per formula unit. Its offset from the most stable computed form is 4.33 eV/f.u.

It has space group Fm-3m (No. 225), with a = 6.0925 Å, b = 6.0925 Å, c = 6.0925 Å, α = 90.00°, β = 90.00° and γ = 90.00°. The distinct sites, in fractional coordinates, are Hf at (0.0000, 0.0000, 0.0000), V at (0.2500, 0.2500, 0.2500) and H at (0.0000, 0.0000, 0.5000).

---

(11)
Entry from Alexandria via LeMat-Bulk: Er7ThSc4 after structural relaxation (GGA-PBE).

The formation energy comes out at 0.285 eV/atom. The uncorrected energy is -61.270 eV per formula unit. Its offset from the most stable computed form is 2.12 eV/f.u.

It has space group C2/m (No. 12), with a = 15.3108 Å, b = 5.7597 Å, c = 9.3775 Å, α = 90.00°, β = 121.01° and γ = 90.00°. The distinct sites, in fractional coordinates, are Er at (0.0000, 0.0000, 0.0000), Er at (0.0866, 0.5000, 0.4410), Er at (0.2068, 0.5000, 0.8812), Er at (0.2470, 0.5000, 0.2828), Th at (0.0000, 0.5000, 0.0000), Sc at (0.0513, 0.0000, 0.7004) and Sc at (0.1698, 0.0000, 0.3470).

---

(12)
Entry from Alexandria via LeMat-Bulk: La4Zn2Cd after structural relaxation (GGA-PBE).

The formation energy comes out at -0.099 eV/atom. The uncorrected energy is -23.864 eV per formula unit. Its offset from the most stable computed form is 0.64 eV/f.u.

It has space group R-3m (No. 166, hexagonal axes), with a = 5.3165 Å, b = 5.3165 Å, c = 26.9481 Å, α = 90.00°, β = 90.00° and γ = 120.00°. The distinct sites, in fractional coordinates, are La at (0.0000, 0.0000, 0.1188), La at (0.0000, 0.0000, 0.2902), Zn at (0.0000, 0.0000, 0.4029) and Cd at (0.0000, 0.0000, 0.5000).

---

The following DOS(E_F) values (in states/eV/f.u.) correspond, in order, to the records above: 5.59 2.96 6.11 4.05 10.74 13.11 4.15 2.81 2.16 5.43 19.25 8.90.